VASP calculation (PBE) on LiNi2Mo after structural relaxation.

As for the total magnetization: 0.1131 μB/atom. As for the uncorrected energy: -5.732 eV per atom. The value obtained for the formation energy is 0.3450 eV per atom.

It has space group Pmmm (No. 47), with a = 2.638 Å, b = 4.285 Å, c = 4.378 Å, α = 90.00°, β = 90.00° and γ = 90.00°. Symmetry generates all atoms from Li at (0.000, 0.000, 0.000), Ni at (0.000, 0.500, 0.500), Ni at (0.500, 0.500, 0.000) and Mo at (0.500, 0.000, 0.500).

VASP calculation (PBE) on LiNi2Mo after structural relaxation.

As for the total magnetization: 0.0000 μB/atom. As for the uncorrected energy: -5.513 eV per atom. The value obtained for the formation energy is 0.5638 eV per atom.

It has space group I-42d (No. 122), with a = 6.418 Å, b = 6.418 Å, c = 5.039 Å, α = 90.00°, β = 90.00° and γ = 90.00°. Symmetry generates all atoms from Li at (0.000, 0.000, 0.000), Ni at (0.237, 0.250, 0.125) and Mo at (0.000, 0.000, 0.500).

VASP calculation (PBE) on LiNi2Mo after structural relaxation.

As for the total magnetization: 0.0000 μB/atom. As for the uncorrected energy: -6.062 eV per atom. The value obtained for the formation energy is 0.0148 eV per atom.

It has space group P4/mmm (No. 123), with a = 2.691 Å, b = 2.691 Å, c = 6.834 Å, α = 90.00°, β = 90.00° and γ = 90.00°. Symmetry generates all atoms from Li at (0.000, 0.000, 0.000), Ni at (0.500, 0.500, 0.239) and Mo at (0.000, 0.000, 0.500).

VASP calculation (PBE) on LiNiMo2 after structural relaxation.

As for the total magnetization: 0.0000 μB/atom. As for the uncorrected energy: -6.683 eV per atom. The value obtained for the formation energy is 0.6558 eV per atom.

It has space group I-42d (No. 122), with a = 6.879 Å, b = 6.879 Å, c = 4.940 Å, α = 90.00°, β = 90.00° and γ = 90.00°. Symmetry generates all atoms from Li at (0.000, 0.000, 0.000), Ni at (0.000, 0.000, 0.500) and Mo at (0.230, 0.250, 0.625).

VASP calculation (PBE) on LiNi2Mo after structural relaxation.

As for the total magnetization: 0.0000 μB/atom. As for the uncorrected energy: -5.921 eV per atom. The value obtained for the formation energy is 0.1562 eV per atom.

It has space group Cmm2 (No. 35), with a = 3.162 Å, b = 3.997 Å, c = 8.251 Å, α = 90.00°, β = 90.00° and γ = 90.00°. Symmetry generates all atoms from Li at (0.000, 0.000, 0.000), Ni at (0.000, 0.000, 0.456), Ni at (0.000, 0.500, 0.237) and Mo at (0.000, 0.500, 0.701).

VASP calculation (PBE) on LiNiMo2 after structural relaxation.

As for the total magnetization: 0.0000 μB/atom. As for the uncorrected energy: -7.075 eV per atom. The value obtained for the formation energy is 0.2647 eV per atom.

It has space group Pmm2 (No. 25), with a = 2.567 Å, b = 3.985 Å, c = 5.435 Å, α = 90.00°, β = 90.00° and γ = 90.00°. Symmetry generates all atoms from Li at (0.000, 0.000, 0.000), Ni at (0.500, 0.500, 0.781), Mo at (0.000, 0.000, 0.526) and Mo at (0.500, 0.500, 0.255).

VASP calculation (PBE) on LiNiMo after structural relaxation.

As for the total magnetization: 0.0000 μB/atom. As for the uncorrected energy: -5.972 eV per atom. The value obtained for the formation energy is 0.2037 eV per atom.

It has space group P3m1 (No. 156), with a = 4.1575 Å, b = 4.1575 Å, c = 2.5361 Å, α = 90.00°, β = 90.00° and γ = 120.00°. Symmetry generates all atoms from Li at (0.0000, 0.0000, 0.0000), Ni at (0.6667, 0.3333, 0.8272) and Mo at (0.3333, 0.6667, 0.4236).

VASP calculation (PBE) on LiNiMo2 after structural relaxation.

As for the total magnetization: 0.0000 μB/atom. As for the uncorrected energy: -7.164 eV per atom. The value obtained for the formation energy is 0.1758 eV per atom.

It has space group Pm (No. 6), with a = 2.589 Å, b = 4.234 Å, c = 4.993 Å, α = 90.00°, β = 96.33° and γ = 90.00°. Symmetry generates all atoms from Li at (0.000, 0.000, 0.000), Ni at (0.067, 0.500, 0.751), Mo at (0.435, 0.000, 0.511) and Mo at (0.653, 0.500, 0.228).